Entry 1:
A relaxed Er2Zn3Ga4 crystal. Source: Alexandria, functional PBE.

Properties
Total energy, eV/cell: -57.2
ΔE_f, eV/atom: -0.396

Cell lengths 5.717, 7.674, 8.066 Å; angles 90.00, 110.76, 90.00 degrees
Fractional positions:
1 Er 0.393 0.097 0.785
2 Er 0.893 0.403 0.785
3 Zn 0.519 0.750 0.539
4 Ga 0.690 0.750 0.880
5 Ga 0.675 0.522 0.349
6 Zn 0.481 0.250 0.461
7 Zn 0.000 0.000 0.000
8 Ga 0.325 0.478 0.651
9 Ga 0.190 0.750 0.880
10 Er 0.607 0.903 0.215
11 Zn 0.019 0.750 0.539
12 Zn 0.981 0.250 0.461
13 Zn 0.500 0.500 0.000
14 Ga 0.825 0.022 0.651
15 Ga 0.175 0.978 0.349
16 Er 0.107 0.597 0.215
17 Ga 0.810 0.250 0.120
18 Ga 0.310 0.250 0.120

Entry 2:
A relaxed AlGaSn2Pt crystal. Source: Alexandria, functional PBE.

Properties
Total energy, eV/cell: -17.7
ΔE_f, eV/atom: 0.614

Cell lengths 5.191, 4.718, 5.191 Å; angles 90.00, 90.00, 90.00 degrees
Fractional positions:
1 Al 0.000 0.000 0.000
2 Pt 0.500 0.500 0.500
3 Sn 0.500 0.000 0.000
4 Sn 0.000 0.000 0.500
5 Ga 0.000 0.500 0.000

Entry 3:
A relaxed Zr2AlCdCu crystal. Source: Alexandria, functional PBE.

Properties
Offset from the most stable computed form, meV per atom: 505.8
Total energy, eV/cell: -20.8
ΔE_f, eV/atom: 1.002

Cell lengths 5.237, 4.629, 5.237 Å; angles 90.00, 90.00, 90.00 degrees
Fractional positions:
1 Zr 0.000 0.000 0.500
2 Cd 0.000 0.000 0.000
3 Cu 0.000 0.500 0.000
4 Zr 0.500 0.000 0.000
5 Al 0.500 0.500 0.500

Entry 4:
A relaxed Te2Ru crystal. Source: Alexandria, functional PBE.

Properties
Total energy, eV/cell: -14.5
Formation energy from raw total energies, eV per formula unit: 1.1

Cell lengths 4.618, 4.618, 3.360 Å; angles 90.00, 90.00, 90.00 degrees
Fractional positions:
1 Te 0.500 0.000 0.500
2 Ru 0.000 0.000 0.000
3 Te 0.000 0.500 0.500

Entry 5:
A relaxed DyHoBr crystal. Source: Alexandria, functional PBE.

Properties
Total energy, eV/cell: -13.0
Formation energy from raw total energies, eV per formula unit: -2.2

Cell lengths 3.708, 3.708, 7.257 Å; angles 90.00, 90.00, 120.00 degrees
Last column: magnetic moment on the atom in μB.
Fractional positions:
1 Br 0.667 0.333 0.333  0.00
2 Ho 0.000 0.000 0.015  0.10
3 Dy 0.333 0.667 0.652  0.09

Entry 6:
A relaxed P2OsRu crystal. Source: Alexandria, functional PBE.

Properties
Offset from the most stable computed form, meV per atom: 304.1
Total energy, eV/cell: -31.5
ΔE_f, eV/atom: -0.042

Cell lengths 7.563, 7.563, 7.563 Å; angles 22.59, 22.59, 22.59 degrees
Fractional positions:
1 Ru 0.512 0.512 0.512
2 P 0.000 0.000 0.000
3 Os 0.739 0.739 0.739
4 P 0.249 0.249 0.249